[1]
Computed, not measured: an optimized crystal structure of AcDyY6 at the PBE level of DFT.

Cell: 6.8301 6.7393 6.8924 Å, 92.68 60.64 85.23°
With the nearest neighbours (Å) after each atom.
Element x y z (fractional)
Y: 0.9056 0.2766 0.5411  5 Y 3.34-3.57
Y: 0.4247 0.2575 0.5212  6 Y 3.28-3.61, 1 Dy 3.36
Y: 0.0944 0.7234 0.4589  5 Y 3.34-3.57
Y: 0.4374 0.2623 0.0393  6 Y 3.28-3.61, 1 Dy 3.41
Y: 0.5626 0.7377 0.9607  6 Y 3.28-3.61, 1 Dy 3.41
Y: 0.5753 0.7425 0.4788  6 Y 3.28-3.61, 1 Dy 3.36
Ac: 0.0000 0.0000 0.0000  2 Dy 3.37, 2 Y 3.71
Dy: 0.0000 0.5000 0.0000  4 Y 3.36-3.41, 2 Ac 3.37

Summary:
Calculated formation energy, meV/atom: 216
Symmetry: P-1 (2)


[2]
Computed, not measured: an optimized crystal structure of Cd3Ag2 at the PBE level of DFT.

Cell: 4.7202 4.7202 5.7184 Å, 90.00 90.00 120.00°
With the nearest neighbours (Å) after each atom.
Element x y z (fractional)
Ag: 0.6667 0.3333 0.1423  8 Cd 2.83-3.00
Ag: 0.3333 0.6667 0.8577  8 Cd 2.83-3.00
Cd: 0.6667 0.3333 0.6372  5 Ag 2.83-3.00, 3 Cd 3.14
Cd: 0.0000 0.0000 0.0000  6 Ag 2.84
Cd: 0.3333 0.6667 0.3628  5 Ag 2.83-3.00, 3 Cd 3.14

Summary:
Calculated formation energy, meV/atom: -15
Symmetry: P-3m1 (164)


[3]
Computed, not measured: an optimized crystal structure of BRh at the PBE level of DFT.

Cell: 4.0434 5.6037 7.9302 Å, 90.00 90.00 90.00°
With the nearest neighbours (Å) after each atom.
Element x y z (fractional)
Rh: 0.8442 0.5861 0.9851  5 B 2.09-2.18
Rh: 0.8395 0.1483 0.1954  5 B 2.15-2.29
Rh: 0.6558 0.4139 0.4851  5 B 2.09-2.18
Rh: 0.1558 0.0861 0.5149  5 B 2.09-2.18
Rh: 0.6605 0.8517 0.6954  5 B 2.15-2.29
Rh: 0.1605 0.6483 0.3046  5 B 2.15-2.29
Rh: 0.3395 0.3517 0.8046  5 B 2.15-2.29
Rh: 0.3442 0.9139 0.0149  5 B 2.09-2.18
B: 0.3481 0.0044 0.2707  1 B 1.84
B: 0.8416 0.9702 0.9392  1 B 1.84
B: 0.8481 0.4956 0.7293  1 B 1.84
B: 0.3416 0.5298 0.0608  1 B 1.84
B: 0.6584 0.0298 0.4392  1 B 1.84
B: 0.1519 0.9956 0.7707  1 B 1.84
B: 0.6519 0.5044 0.2293  1 B 1.84
B: 0.1584 0.4702 0.5608  1 B 1.84

Summary:
Calculated formation energy, meV/atom: -137
Symmetry: P2_12_12_1 (19)


[4]
Computed, not measured: an optimized crystal structure of ZrTcNi2H at the PBE level of DFT.

Cell: 3.8507 3.8507 3.9922 Å, 90.00 90.00 90.00°
With the nearest neighbours (Å) after each atom.
Element x y z (fractional)
Ni: 0.0000 0.5000 0.0000  2 H 1.93
Ni: 0.5000 0.0000 0.0000  2 H 1.93
Zr: 0.5000 0.5000 0.5000  4 Tc 2.72, 8 Ni 2.77
Tc: 0.0000 0.0000 0.5000  2 H 2.00
H: 0.0000 0.0000 0.0000  4 Ni 1.93, 2 Tc 2.00

Summary:
VASP energy, eV/cell: -34.81
Symmetry: P4/mmm (123)


Which mass density belongs to each record? In order, 5.59, 8.32, 8.41, 8.63 g/cm³.